VASP calculation (PBE) on Pr2PdPt5Rh2 after structural relaxation.

Geometry as POSCAR:
```
Pr2PdPt5Rh2
1.0
-2.9311 -2.7825 -0.8697
5.3998 -6.8416 3.6903
-3.9232 1.4804 8.4853
Pr Pd Pt Rh
4 2 10 4
direct
0.0000 0.6749 0.1749
0.0000 0.3251 0.8251
0.0000 0.1749 0.3251
0.0000 0.8251 0.6749
0.0000 0.0000 0.0000
0.0000 0.5000 0.5000
0.5000 0.2018 0.0587
0.5000 0.7982 0.9413
0.5000 0.0587 0.7982
0.5000 0.7018 0.4413
0.5000 0.9413 0.2018
0.5000 0.2982 0.5587
0.5000 0.5587 0.7018
0.5000 0.4413 0.2982
0.5000 0.5000 0.0000
0.5000 0.0000 0.5000
0.0000 0.1251 0.6251
0.0000 0.8749 0.3749
0.0000 0.6251 0.8749
0.0000 0.3749 0.1251
```

* space group: No. 127
* formation energy: -0.594 eV per atom

***

VASP calculation (PBE) on CsTlIn2Cu after structural relaxation.

Geometry as POSCAR:
```
CsTlIn2Cu
1.0
-0.2804 -2.7579 4.5772
3.6373 -3.4564 -1.8597
4.1376 3.1852 2.1727
Cs Tl Cu In
1 1 1 2
direct
0.5000 0.5000 0.5000
0.0000 0.0000 0.5000
0.0000 0.0000 0.0000
0.0000 0.5000 0.0000
0.5000 0.0000 0.0000
```

* space group: No. 123
* formation energy: 0.123 eV per atom

***

VASP calculation (PBE) on BaTaAl after structural relaxation.

Geometry as POSCAR:
```
BaTaAl
1.0
6.6505 -0.0055 0.0000
4.5816 4.8206 0.0000
-5.6160 -2.4076 2.6254
Al Ba Ta
1 1 1
direct
0.0605 0.0605 0.0000
0.3286 0.3286 0.0000
0.6109 0.6109 0.0000
```

* distance to the lowest polymorph of the same formula: 0 meV/atom
* space group: No. 107
* formation energy: 0.547 eV per atom

***

VASP calculation (PBE) on Na4Hf3Te8Au after structural relaxation.

Geometry as POSCAR:
```
Na4Hf3Te8Au
1.0
8.4272 0.0000 0.0000
0.0000 8.9631 0.3680
-4.2136 -4.2097 5.9652
Na Hf Te Au
4 3 8 1
direct
0.5000 0.0000 0.0000
0.5000 0.0000 0.5000
0.0000 0.0000 0.0000
0.0000 0.0000 0.5000
0.5000 0.5000 0.0000
0.5000 0.5000 0.5000
0.0000 0.5000 0.5000
0.2419 0.7164 0.9744
0.2422 0.7167 0.4845
0.2593 0.2778 0.5186
0.7325 0.7164 0.9744
0.2675 0.2836 0.0256
0.7407 0.7222 0.4814
0.7578 0.2833 0.5155
0.7581 0.2836 0.0256
0.0000 0.5000 0.0000
```

* calculated total energy: -75.14 eV per cell
* space group: No. 166

***

VASP calculation (PBE) on MgVTe2 after structural relaxation.

Geometry as POSCAR:
```
MgVTe2
1.0
3.3768 4.1981 7.1606
2.1928 0.5464 8.6715
5.8255 0.9034 6.7490
Mg Te V
1 2 1
direct
0.5000 0.5000 0.5000
0.8991 0.8991 0.8991
0.1009 0.1009 0.1009
0.0000 0.0000 0.0000
```

* calculated total energy: -16.45 eV per cell
* space group: No. 166

***

VASP calculation (PBE) on Sm2Ga4HgPd3 after structural relaxation.

Geometry as POSCAR:
```
Sm2Ga4HgPd3
1.0
-3.6669 0.2104 2.2552
0.1406 -4.2620 0.6261
5.6168 1.5062 8.9923
Sm Ga Hg Pd
2 4 1 3
direct
0.5000 0.0000 0.2361
0.0000 0.5000 0.7639
0.5000 0.5000 0.0000
0.0000 0.0000 0.0000
0.5000 0.0000 0.6449
0.0000 0.5000 0.3551
0.5000 0.5000 0.5000
0.0000 0.0000 0.5000
0.5000 0.0000 0.8730
0.0000 0.5000 0.1270
```

* space group: No. 115
* formation energy: -0.680 eV per atom

***

For each record above, in turn, the calculated M_tot values are 0.00, 0.00, 0.67, 0.00, 3.14, 0.00 μB per cell.